# 1
## In5AgPb6 (PBE)

Data for crystalline In5AgPb6 at its relaxed geometry.

Calculated values
energy relative to the elements	0.04	eV/atom
M_tot	0.0	μB/cell
total energy	-38.268	eV/cell
symmetry	Cmmm

Cell and atoms, written as POSCAR:
```
In5AgPb6
1.0
2.2394 -7.6743 0.0000
2.2394 7.6743 0.0000
0.0000 0.0000 10.0035
In Ag Pb
5 1 6
Direct
0.0000 0.0000 0.0000
0.3362 0.6637 0.0000
0.3397 0.6603 0.5000
0.6603 0.3397 0.5000
0.6637 0.3362 0.0000
0.0000 0.0000 0.5000
0.1649 0.8351 0.2560
0.1649 0.8351 0.7440
0.5000 0.5000 0.2643
0.5000 0.5000 0.7357
0.8351 0.1649 0.2560
0.8351 0.1649 0.7440
```



# 2
## In5AgPb2 (PBE)

Data for crystalline In5AgPb2 at its relaxed geometry.

Calculated values
energy relative to the elements	0.05	eV/atom
M_tot	0.0	μB/cell
total energy	-23.575	eV/cell
symmetry	I4/mmm

Cell and atoms, written as POSCAR:
```
In5AgPb2
1.0
-2.4362 2.4362 9.0220
2.4362 -2.4362 9.0220
2.4362 2.4362 -9.0220
In Ag Pb
5 1 2
Direct
0.0000 0.0000 0.0000
0.1136 0.6136 0.5000
0.3864 0.8864 0.5000
0.6136 0.1136 0.5000
0.8864 0.3864 0.5000
0.5000 0.5000 0.0000
0.2480 0.2480 0.0000
0.7520 0.7520 0.0000
```



# 3
## In4AgPb (PBE)

Data for crystalline In4AgPb at its relaxed geometry.

Calculated values
energy relative to the elements	0.05	eV/atom
M_tot	0.0	μB/cell
energy relative to the lowest polymorph listed for this composition	0.0	meV/atom
total energy	-17.188	eV/cell
symmetry	P-6m2

Cell and atoms, written as POSCAR:
```
In4AgPb
1.0
3.3551 0.0000 0.0000
-1.6775 2.9056 0.0000
0.0000 0.0000 16.0814
In Ag Pb
4 1 1
Direct
0.0000 0.0000 0.1432
0.0000 0.0000 0.8568
0.6667 0.3333 0.3135
0.6667 0.3333 0.6865
0.6667 0.3333 0.0000
0.0000 0.0000 0.5000
```



# 4
## In2AgPb (PBE)

Data for crystalline In2AgPb at its relaxed geometry.

Calculated values
energy relative to the elements	0.07	eV/atom
M_tot	0.0	μB/cell
total energy	-11.753	eV/cell
symmetry	Imm2

Cell and atoms, written as POSCAR:
```
In2AgPb
1.0
-1.6988 2.4740 6.3308
1.6988 -2.4740 6.3308
1.6988 2.4740 -6.3308
In Ag Pb
2 1 1
Direct
0.0000 0.0000 0.0000
0.6915 0.1915 0.5000
0.4955 0.4955 0.0000
0.2910 0.7910 0.5000
```



# 5
## InAg6Pb (PBE)

Data for crystalline InAg6Pb at its relaxed geometry.

Calculated values
energy relative to the elements	0.04	eV/atom
M_tot	0.0	μB/cell
total energy	-23.239	eV/cell
symmetry	Amm2

Cell and atoms, written as POSCAR:
```
InAg6Pb
1.0
4.8427 0.0000 0.0000
0.0000 3.0814 5.3287
0.0000 -3.0814 5.3287
In Ag Pb
1 6 1
Direct
0.0000 0.0000 0.0000
0.0000 0.5077 0.5077
0.0000 0.5079 0.9845
0.0000 0.9845 0.5079
0.5000 0.3355 0.8320
0.5000 0.8320 0.3355
0.5000 0.8320 0.8320
0.5000 0.3332 0.3332
```



# 6
## In2AgPb (PBE)

Data for crystalline In2AgPb at its relaxed geometry.

Calculated values
energy relative to the elements	0.12	eV/atom
M_tot	0.0	μB/cell
total energy	-23.122	eV/cell
symmetry	I-42d

Cell and atoms, written as POSCAR:
```
In2AgPb
1.0
-2.2047 2.2047 10.9661
2.2047 -2.2047 10.9661
2.2047 2.2047 -10.9661
In Ag Pb
4 2 2
Direct
0.1093 0.6250 0.9843
0.3750 0.3593 0.4843
0.6407 0.1250 0.0157
0.8750 0.8907 0.5157
0.0000 0.0000 0.0000
0.7500 0.2500 0.5000
0.2500 0.7500 0.5000
0.5000 0.5000 0.0000
```



# 7
## In2AgPb (PBE)

Data for crystalline In2AgPb at its relaxed geometry.

Calculated values
energy relative to the elements	0.08	eV/atom
M_tot	0.0	μB/cell
total energy	-11.701	eV/cell
symmetry	P4/mmm

Cell and atoms, written as POSCAR:
```
In2AgPb
1.0
4.5742 0.0000 0.0000
0.0000 4.5742 0.0000
0.0000 0.0000 4.8770
In Ag Pb
2 1 1
Direct
0.0000 0.5000 0.0000
0.5000 0.0000 0.0000
0.0000 0.0000 0.5000
0.5000 0.5000 0.5000
```



# 8
## InAgPdPb (PBE)

Data for crystalline InAgPdPb at its relaxed geometry.

Calculated values
energy relative to the elements	-0.06	eV/atom
M_tot	0.0	μB/cell
total energy	-14.739	eV/cell
symmetry	F-43m

Cell and atoms, written as POSCAR:
```
InAgPdPb
1.0
0.0000 3.4879 3.4879
3.4879 0.0000 3.4879
3.4879 3.4879 0.0000
In Ag Pd Pb
1 1 1 1
Direct
0.0000 0.0000 0.0000
0.7500 0.7500 0.7500
0.2500 0.2500 0.2500
0.5000 0.5000 0.5000
```



# 9
## PmInAgPb (PBE)

Data for crystalline PmInAgPb at its relaxed geometry.

Calculated values
energy relative to the elements	-0.35	eV/atom
M_tot	0.0	μB/cell
energy relative to the lowest polymorph listed for this composition	0.0	meV/atom
total energy	-15.445	eV/cell
symmetry	Pmmm

Cell and atoms, written as POSCAR:
```
PmInAgPb
1.0
4.5818 0.0000 0.0000
0.0000 4.5901 0.0000
0.0000 0.0000 4.8442
Pm In Ag Pb
1 1 1 1
Direct
0.0000 0.0000 0.0000
0.5000 0.0000 0.5000
0.0000 0.5000 0.5000
0.5000 0.5000 0.0000
```



# 10
## PmInAgPb (PBE)

Data for crystalline PmInAgPb at its relaxed geometry.

Calculated values
energy relative to the elements	-0.18	eV/atom
M_tot	0.0	μB/cell
energy relative to the lowest polymorph listed for this composition	167.6	meV/atom
total energy	-14.774	eV/cell
symmetry	F-43m

Cell and atoms, written as POSCAR:
```
PmInAgPb
1.0
0.0000 3.7483 3.7483
3.7483 0.0000 3.7483
3.7483 3.7483 0.0000
Pm In Ag Pb
1 1 1 1
Direct
0.0000 0.0000 0.0000
0.7500 0.7500 0.7500
0.2500 0.2500 0.2500
0.5000 0.5000 0.5000
```



# 11
## Rb2In3AgPb4 (PBE)

Data for crystalline Rb2In3AgPb4 at its relaxed geometry.

Calculated values
energy relative to the elements	-0.07	eV/atom
M_tot	0.0	μB/cell
total energy	-28.529	eV/cell
symmetry	P-4m2

Cell and atoms, written as POSCAR:
```
Rb2In3AgPb4
1.0
5.1931 0.0000 0.0000
0.0000 5.1931 0.0000
0.0000 0.0000 12.6891
Rb In Ag Pb
2 3 1 4
Direct
0.0000 0.5000 0.2416
0.5000 0.0000 0.7584
0.0000 0.0000 0.0000
0.0000 0.5000 0.6394
0.5000 0.0000 0.3606
0.5000 0.5000 0.0000
0.0000 0.0000 0.5000
0.0000 0.5000 0.8761
0.5000 0.0000 0.1239
0.5000 0.5000 0.5000
```



# 12
## Rb2InAgPb (PBE)

Data for crystalline Rb2InAgPb at its relaxed geometry.

Calculated values
energy relative to the elements	0.32	eV/atom
M_tot	0.0	μB/cell
total energy	-9.650	eV/cell
symmetry	P4/mmm

Cell and atoms, written as POSCAR:
```
Rb2InAgPb
1.0
7.1999 0.0000 0.0000
0.0000 7.1999 0.0000
0.0000 0.0000 5.5617
Rb In Ag Pb
2 1 1 1
Direct
0.0000 0.5000 0.0000
0.5000 0.0000 0.0000
0.0000 0.0000 0.0000
0.5000 0.5000 0.5000
0.0000 0.0000 0.5000
```



# 13
## InReAgPb2 (PBE)

Data for crystalline InReAgPb2 at its relaxed geometry.

Calculated values
energy relative to the elements	1.62	eV/atom
M_tot	4.1	μB/cell
total energy	-17.347	eV/cell
symmetry	P4/mmm

Cell and atoms, written as POSCAR:
```
InReAgPb2
1.0
5.6768 0.0000 0.0000
0.0000 5.6768 0.0000
0.0000 0.0000 5.0871
In Re Ag Pb
1 1 1 2
Direct
0.0000 0.0000 0.0000
0.5000 0.5000 0.5000
0.0000 0.0000 0.5000
0.0000 0.5000 0.0000
0.5000 0.0000 0.0000
```



# 14
## In2ReAgPb (PBE)

Data for crystalline In2ReAgPb at its relaxed geometry.

Calculated values
energy relative to the elements	0.77	eV/atom
M_tot	0.0	μB/cell
total energy	-20.610	eV/cell
symmetry	P4/mmm

Cell and atoms, written as POSCAR:
```
In2ReAgPb
1.0
5.1886 0.0000 0.0000
0.0000 5.1886 0.0000
0.0000 0.0000 5.2183
In Re Ag Pb
2 1 1 1
Direct
0.0000 0.5000 0.0000
0.5000 0.0000 0.0000
0.0000 0.0000 0.0000
0.0000 0.0000 0.5000
0.5000 0.5000 0.5000
```



# 15
## InAg2PbS4 (PBE)

Data for crystalline InAg2PbS4 at its relaxed geometry.

Calculated values
M_tot	0.0	μB/cell
total energy	-61.461	eV/cell
symmetry	C2/c

Cell and atoms, written as POSCAR:
```
InAg2PbS4
1.0
5.4595 -5.5554 0.0000
5.4595 5.5554 0.0000
-5.3772 0.0000 5.6146
In Ag Pb S
2 4 2 8
Direct
0.0000 0.0000 0.0000
0.0000 0.0000 0.5000
0.0000 0.5000 0.0000
0.5000 0.0000 0.5000
0.5000 0.5000 0.0000
0.5000 0.5000 0.5000
0.0000 0.5000 0.5000
0.5000 0.0000 0.0000
0.2352 0.2487 0.9714
0.2365 0.7568 0.0101
0.2432 0.7635 0.4899
0.2487 0.2352 0.4714
0.7513 0.7648 0.5286
0.7568 0.2365 0.5101
0.7635 0.2432 0.9899
0.7648 0.7513 0.0286
```



# 16
## InAgPb2S4 (PBE)

Data for crystalline InAgPb2S4 at its relaxed geometry.

Calculated values
M_tot	0.0	μB/cell
total energy	-32.696	eV/cell
symmetry	C2

Cell and atoms, written as POSCAR:
```
InAgPb2S4
1.0
4.1391 -4.8280 0.0000
4.1391 4.8280 0.0000
-3.9283 0.0000 5.2803
In Ag Pb S
1 1 2 4
Direct
0.0000 0.0000 0.0000
0.7515 0.2485 0.5000
0.2903 0.7097 0.5000
0.5446 0.4554 0.0000
0.0798 0.3769 0.9578
0.3180 0.1240 0.4429
0.6231 0.9202 0.0422
0.8760 0.6820 0.5571
```



# 17
## InAgPbSe3 (PBE)

Data for crystalline InAgPbSe3 at its relaxed geometry.

Calculated values
M_tot	0.0	μB/cell
total energy	-43.767	eV/cell
symmetry	P2_1/m

Cell and atoms, written as POSCAR:
```
InAgPbSe3
1.0
8.0113 0.0000 0.0000
0.0000 4.2158 0.0000
-3.0830 0.0000 9.6516
In Ag Pb Se
2 2 2 6
Direct
0.1728 0.2500 0.1408
0.8272 0.7500 0.8592
0.3742 0.7500 0.4255
0.6258 0.2500 0.5745
0.2046 0.2500 0.6997
0.7954 0.7500 0.3003
0.0978 0.2500 0.3849
0.1937 0.7500 0.9801
0.4809 0.7500 0.7053
0.5191 0.2500 0.2947
0.8063 0.2500 0.0199
0.9022 0.7500 0.6151
```



# 18
## In4AgPbSe8 (PBE)

Data for crystalline In4AgPbSe8 at its relaxed geometry.

Calculated values
M_tot	0.0	μB/cell
total energy	-51.145	eV/cell
symmetry	R3m

Cell and atoms, written as POSCAR:
```
In4AgPbSe8
1.0
4.1215 2.3795 6.7157
-4.1215 2.3795 6.7157
0.0000 -4.7591 6.7157
In Ag Pb Se
4 1 1 8
Direct
0.0000 0.0000 0.0000
0.3840 0.3840 0.8589
0.3840 0.8589 0.3840
0.8589 0.3840 0.3840
0.7513 0.7513 0.7513
0.3842 0.3842 0.3842
0.1293 0.1293 0.6020
0.1293 0.6020 0.1293
0.1357 0.1357 0.1357
0.1431 0.6307 0.6307
0.6020 0.1293 0.1293
0.6203 0.6203 0.6203
0.6307 0.1431 0.6307
0.6307 0.6307 0.1431
```



# 19
## InAg2PbSe4 (PBE)

Data for crystalline InAg2PbSe4 at its relaxed geometry.

Calculated values
M_tot	0.0	μB/cell
total energy	-56.712	eV/cell
symmetry	C2/c

Cell and atoms, written as POSCAR:
```
InAg2PbSe4
1.0
5.7141 -5.7774 0.0000
5.7141 5.7774 0.0000
-5.6746 0.0000 5.8453
In Ag Pb Se
2 4 2 8
Direct
0.0000 0.0000 0.0000
0.0000 0.0000 0.5000
0.0000 0.5000 0.0000
0.5000 0.0000 0.5000
0.5000 0.5000 0.0000
0.5000 0.5000 0.5000
0.0000 0.5000 0.5000
0.5000 0.0000 0.0000
0.2388 0.7553 0.0132
0.2401 0.2576 0.9753
0.2447 0.7612 0.4868
0.2576 0.2401 0.4753
0.7424 0.7599 0.5247
0.7553 0.2388 0.5132
0.7599 0.7424 0.0247
0.7612 0.2447 0.9868
```



# 20
## InAgSnPb (PBE)

Data for crystalline InAgSnPb at its relaxed geometry.

Calculated values
energy relative to the elements	0.03	eV/atom
M_tot	0.0	μB/cell
energy relative to the lowest polymorph listed for this composition	0.0	meV/atom
total energy	-13.197	eV/cell
symmetry	P4mm

Cell and atoms, written as POSCAR:
```
InAgSnPb
1.0
3.4088 0.0000 0.0000
0.0000 3.4088 0.0000
0.0000 0.0000 8.7874
In Ag Sn Pb
1 1 1 1
Direct
0.0000 0.0000 0.0000
0.5000 0.5000 0.2124
0.0000 0.0000 0.4292
0.5000 0.5000 0.7131
```



# 21
## InAgSn2Pb (PBE)

Data for crystalline InAgSn2Pb at its relaxed geometry.

Calculated values
energy relative to the elements	0.63	eV/atom
M_tot	0.0	μB/cell
total energy	-14.159	eV/cell
symmetry	P4/mmm

Cell and atoms, written as POSCAR:
```
InAgSn2Pb
1.0
5.8778 0.0000 0.0000
0.0000 5.8778 0.0000
0.0000 0.0000 5.2674
In Ag Sn Pb
1 1 2 1
Direct
0.0000 0.0000 0.0000
0.5000 0.5000 0.0000
0.0000 0.5000 0.5000
0.5000 0.0000 0.5000
0.5000 0.5000 0.5000
```



# 22
## InAgSnPb (PBE)

Data for crystalline InAgSnPb at its relaxed geometry.

Calculated values
energy relative to the elements	0.09	eV/atom
M_tot	0.0	μB/cell
energy relative to the lowest polymorph listed for this composition	68.0	meV/atom
total energy	-12.925	eV/cell
symmetry	F-43m

Cell and atoms, written as POSCAR:
```
InAgSnPb
1.0
0.0000 3.7434 3.7434
3.7434 0.0000 3.7434
3.7434 3.7434 0.0000
In Ag Sn Pb
1 1 1 1
Direct
0.0000 0.0000 0.0000
0.7500 0.7500 0.7500
0.2500 0.2500 0.2500
0.5000 0.5000 0.5000
```



# 23
## Sr3InAg6Pb2 (PBE)

Data for crystalline Sr3InAg6Pb2 at its relaxed geometry.

Calculated values
energy relative to the elements	-0.20	eV/atom
M_tot	0.0	μB/cell
total energy	-34.708	eV/cell
symmetry	P-3m1

Cell and atoms, written as POSCAR:
```
Sr3InAg6Pb2
1.0
6.1691 0.0000 0.0000
-3.0846 5.3426 0.0000
0.0000 0.0000 9.6011
Sr In Ag Pb
3 1 6 2
Direct
0.0000 0.0000 0.0000
0.3333 0.6667 0.5995
0.6667 0.3333 0.4005
0.0000 0.0000 0.5000
0.1771 0.3542 0.2724
0.1771 0.8229 0.2724
0.3542 0.1771 0.7276
0.6458 0.8229 0.2724
0.8229 0.1771 0.7276
0.8229 0.6458 0.7276
0.3333 0.6667 0.9858
0.6667 0.3333 0.0142
```



# 24
## Sr2InAg6Pb (PBE)

Data for crystalline Sr2InAg6Pb at its relaxed geometry.

Calculated values
energy relative to the elements	0.09	eV/atom
M_tot	0.0	μB/cell
total energy	-26.064	eV/cell
symmetry	Fm-3m

Cell and atoms, written as POSCAR:
```
Sr2InAg6Pb
1.0
0.0000 5.3078 5.3078
5.3078 0.0000 5.3078
5.3078 5.3078 0.0000
Sr In Ag Pb
2 1 6 1
Direct
0.2500 0.2500 0.2500
0.7500 0.7500 0.7500
0.0000 0.0000 0.0000
0.2461 0.2461 0.7539
0.2461 0.7539 0.2461
0.2461 0.7539 0.7539
0.7539 0.2461 0.2461
0.7539 0.2461 0.7539
0.7539 0.7539 0.2461
0.5000 0.5000 0.5000
```



# 25
## Sr2InAg4Pb3 (PBE)

Data for crystalline Sr2InAg4Pb3 at its relaxed geometry.

Calculated values
energy relative to the elements	-0.22	eV/atom
M_tot	0.0	μB/cell
total energy	-30.788	eV/cell
symmetry	P-4m2

Cell and atoms, written as POSCAR:
```
Sr2InAg4Pb3
1.0
4.7436 0.0000 0.0000
0.0000 4.7436 0.0000
0.0000 0.0000 12.3025
Sr In Ag Pb
2 1 4 3
Direct
0.0000 0.5000 0.2437
0.5000 0.0000 0.7563
0.0000 0.0000 0.5000
0.0000 0.0000 0.0000
0.0000 0.5000 0.6379
0.5000 0.0000 0.3621
0.5000 0.5000 0.0000
0.0000 0.5000 0.8659
0.5000 0.0000 0.1341
0.5000 0.5000 0.5000
```